# 1
VASP calculation (PBE) on a relaxed structure of Na3As4Pd4.

abc: 6.721 6.721 6.721
angles: 109.47 109.47 109.47
Atoms (fractional coordinates):
Na (0.000, 0.500, 0.500)
Na (0.500, 0.000, 0.500)
Na (0.500, 0.500, 0.000)
As (0.000, 0.000, 0.367)
As (0.000, 0.367, 0.000)
As (0.367, 0.000, 0.000)
As (0.633, 0.633, 0.633)
Pd (0.000, 0.000, 0.722)
Pd (0.000, 0.722, 0.000)
Pd (0.278, 0.278, 0.278)
Pd (0.722, 0.000, 0.000)

The value obtained for the relative energy among the computed polymorphs is 35 meV/atom. The density of states at the Fermi level comes out at 7.40 states/eV/cell. The energy relative to the elements comes out at -0.390 eV per atom.



# 2
VASP calculation (PBE) on a relaxed structure of Zr2AlW.

abc: 3.466 3.466 6.347
angles: 90.00 90.00 90.00
Atoms (fractional coordinates):
Zr (0.000, 0.000, 0.000)
Zr (0.500, 0.500, 0.296)
Al (0.000, 0.000, 0.546)
W (0.500, 0.500, 0.744)

The density of states at the Fermi level comes out at 2.99 states/eV/cell. The energy relative to the elements comes out at -0.035 eV per atom.



# 3
VASP calculation (PBE) on a relaxed structure of PuBe17W.

abc: 5.650 5.650 5.650
angles: 82.80 82.80 82.80
Atoms (fractional coordinates):
Pu (0.000, 0.000, 0.000)
Be (0.010, 0.010, 0.500)
Be (0.010, 0.500, 0.010)
Be (0.164, 0.658, 0.658)
Be (0.321, 0.321, 0.818)
Be (0.321, 0.818, 0.321)
Be (0.376, 0.657, 0.954)
Be (0.376, 0.954, 0.657)
Be (0.500, 0.010, 0.010)
Be (0.561, 0.561, 0.561)
Be (0.657, 0.376, 0.954)
Be (0.657, 0.954, 0.376)
Be (0.658, 0.164, 0.658)
Be (0.658, 0.658, 0.164)
Be (0.754, 0.754, 0.754)
Be (0.818, 0.321, 0.321)
Be (0.954, 0.376, 0.657)
Be (0.954, 0.657, 0.376)
W (0.329, 0.329, 0.329)

The density of states at the Fermi level comes out at 10.60 states/eV/cell. The energy relative to the elements comes out at -0.041 eV per atom.



# 4
VASP calculation (PBE) on a relaxed structure of Th2Ga4Cu3Pd.

abc: 4.293 4.293 9.970
angles: 90.00 90.00 90.00
Atoms (fractional coordinates):
Th (0.000, 0.500, 0.248)
Th (0.500, 0.000, 0.752)
Ga (0.000, 0.000, 0.500)
Ga (0.000, 0.500, 0.867)
Ga (0.500, 0.000, 0.133)
Ga (0.500, 0.500, 0.500)
Cu (0.000, 0.000, 0.000)
Cu (0.000, 0.500, 0.626)
Cu (0.500, 0.000, 0.374)
Pd (0.500, 0.500, 0.000)

The density of states at the Fermi level comes out at 5.81 states/eV/cell. The energy relative to the elements comes out at -0.513 eV per atom.



# 5
VASP calculation (PBE) on a relaxed structure of Cr3TeCl.

abc: 5.335 5.335 5.335
angles: 90.00 90.00 90.00
Atoms (fractional coordinates):
Cr (0.000, 0.000, 0.500)
Cr (0.000, 0.500, 0.000)
Cr (0.500, 0.000, 0.000)
Te (0.000, 0.000, 0.000)
Cl (0.500, 0.500, 0.500)

The value obtained for the relative energy among the computed polymorphs is 0 meV/atom. The density of states at the Fermi level comes out at 0.82 states/eV/cell.



# 6
VASP calculation (PBE) on a relaxed structure of K2SrI2Cl2.

abc: 10.138 10.138 10.138
angles: 147.81 147.81 46.17
Atoms (fractional coordinates):
K (0.137, 0.137, 0.000)
K (0.863, 0.863, 0.000)
Sr (0.500, 0.500, 0.000)
I (0.325, 0.325, 0.000)
I (0.675, 0.675, 0.000)
Cl (0.000, 0.500, 0.500)
Cl (0.500, 0.000, 0.500)

The calculation puts the total energy at -3.373 eV/atom. The density of states at the Fermi level comes out at 0.00 states/eV/cell.



# 7
VASP calculation (PBE) on a relaxed structure of BaTeIr2.

abc: 5.117 5.117 3.456
angles: 90.00 90.00 100.47
Atoms (fractional coordinates):
Ba (0.000, 0.000, 0.000)
Te (0.500, 0.500, 0.000)
Ir (0.000, 0.500, 0.500)
Ir (0.500, 0.000, 0.500)

The calculation puts the total energy at -5.143 eV/atom. The density of states at the Fermi level comes out at 2.47 states/eV/cell.



# 8
VASP calculation (PBE) on a relaxed structure of Na12Hg6Au.

abc: 8.068 8.068 8.068
angles: 88.09 88.09 88.09
Atoms (fractional coordinates):
Na (0.034, 0.931, 0.306)
Na (0.069, 0.694, 0.966)
Na (0.139, 0.482, 0.360)
Na (0.306, 0.034, 0.931)
Na (0.360, 0.139, 0.482)
Na (0.482, 0.360, 0.139)
Na (0.518, 0.640, 0.861)
Na (0.640, 0.861, 0.518)
Na (0.694, 0.966, 0.069)
Na (0.861, 0.518, 0.640)
Na (0.931, 0.306, 0.034)
Na (0.966, 0.069, 0.694)
Hg (0.226, 0.392, 0.758)
Hg (0.242, 0.774, 0.608)
Hg (0.392, 0.758, 0.226)
Hg (0.608, 0.242, 0.774)
Hg (0.758, 0.226, 0.392)
Hg (0.774, 0.608, 0.242)
Au (0.500, 0.500, 0.500)

The density of states at the Fermi level comes out at 6.23 states/eV/cell. The energy relative to the elements comes out at -0.186 eV per atom.



Which volume belongs to each record? In order, 233.7; 76.2; 176.4; 183.7; 151.8; 294.7; 89.0; 524.3 Å³/cell.
Which spin magnetization belongs to each record? In order, 0.0; 0.0; 5.2; 0.0; 15.0; 0.0; 0.0; 0.0 Bohr magnetons per cell.